VASP calculation (PBE-GGA) on a relaxed structure of TiMo3Au.

Cell and atoms, written as CIF:
```
data_TiMo3Au
_chemical_formula_sum 'Ti1 Mo3 Au1'
_cell_length_a 4.538
_cell_length_b 4.538
_cell_length_c 4.538
_cell_angle_alpha 90.00
_cell_angle_beta 90.00
_cell_angle_gamma 90.00
_symmetry_space_group_name_H-M 'P 1'
_symmetry_Int_Tables_number 1
_symmetry_space_group_name_Hall 'P 1'
loop_
_atom_site_label
_atom_site_type_symbol
_atom_site_fract_x
_atom_site_fract_y
_atom_site_fract_z
Mo1 Mo 0.000 0.500 0.000
Mo2 Mo 0.000 0.000 0.500
Mo3 Mo 0.500 0.000 0.000
Au1 Au 0.500 0.500 0.500
Ti1 Ti 0.000 0.000 0.000
```

Results
The value obtained for the total energy is -7.35 eV/atom. For the energy relative to the elements, the calculation gives 1.38 eV/atom. Its symmetry is Pm-3m. For the energy above the most stable polymorph in this dataset, the calculation gives 0 kJ/mol of formula units.